# Sr3CaHf

Crystalline Sr3CaHf at its relaxed geometry (PBE, the Alexandria database).

Lattice parameters (Å, degrees): 6.2791 6.2791 6.2791 90.00 90.00 90.00
Last column: nearest neighbours and their distance in Å.
Positions (direct):
Sr 0.0000 0.5000 0.0000  2 Hf 3.14
Sr 0.0000 0.0000 0.5000  2 Hf 3.14
Sr 0.5000 0.0000 0.0000  2 Hf 3.14
Ca 0.5000 0.5000 0.5000  12 Sr 4.44
Hf 0.0000 0.0000 0.0000  6 Sr 3.14

Values from the calculation:
Total moment, μB per cell: 1.409
Energy relative to the lowest polymorph listed for this composition, eV per formula unit: 0.000
SG: No. 221
ΔE_f, eV/atom: 0.772
Volume, A^3/atom: 49.514